AgPtAu: relaxed, PBEsol.

Results
D(E_F) ... 4.1 states/eV per cell
Energy above the most stable polymorph in this dataset ... 10.2 kJ/mol of formula units
Volume ... 193.53 Å³/cell
DFT total energy ... -56.67 eV for the cell shown

Structure (CIF):
```
data_AgPtAu
_symmetry_space_group_name_H-M 'F m m 2'
_symmetry_Int_Tables_number 42
_symmetry_space_group_name_Hall 'F 2 -2'
_cell_length_a 2.8270
_cell_length_b 4.7527
_cell_length_c 14.4036
_cell_angle_alpha 90.00
_cell_angle_beta 90.00
_cell_angle_gamma 90.00
loop_
_atom_site_label
_atom_site_type_symbol
_atom_site_fract_x
_atom_site_fract_y
_atom_site_fract_z
_atom_site_occupancy
Ag1 Ag 0.0000 0.0000 0.0000 1
Pt1 Pt 0.0000 0.0000 0.3360 1
Au1 Au 0.0000 0.0000 0.6681 1
```